[1]
The following is a DFT calculation (GGA-PBE) of an optimized crystal structure of Dy2Y3Te6.

Lattice parameters (Å, degrees): 4.372 4.372 21.691 84.22 84.22 60.00
Fractional positions:
Dy  0.447  0.447  0.659
Dy  0.553  0.553  0.341
Y  0.000  0.000  0.000
Y  0.279  0.279  0.163
Y  0.721  0.721  0.837
Te  0.083  0.083  0.751
Te  0.917  0.917  0.249
Te  0.195  0.195  0.415
Te  0.805  0.805  0.585
Te  0.361  0.361  0.918
Te  0.639  0.639  0.082

Properties
Total magnetization ... 0.000 μB/atom
ΔE to the lowest computed polymorph ... 0.0826 eV per atom
Energy ... -5.639 eV/atom

***

[2]
The following is a DFT calculation (GGA-PBE) of an optimized crystal structure of DyY4Te7.

Lattice parameters (Å, degrees): 4.241 7.465 13.189 103.54 90.00 106.51
Fractional positions:
Dy  0.884  0.769  0.576
Y  0.701  0.402  0.814
Y  0.299  0.598  0.187
Y  0.000  0.000  0.000
Y  0.115  0.231  0.424
Te  0.743  0.486  0.351
Te  0.257  0.515  0.649
Te  0.339  0.679  0.952
Te  0.661  0.321  0.048
Te  0.038  0.076  0.783
Te  0.962  0.924  0.216
Te  0.500  0.999  0.500

Properties
Total magnetization ... 0.000 μB/atom
Energy ... -5.759 eV/atom

***

[3]
The following is a DFT calculation (GGA-PBE) of an optimized crystal structure of Dy2Y3Te6.

Lattice parameters (Å, degrees): 7.526 7.497 7.500 80.32 70.42 59.87
Fractional positions:
Dy  0.164  0.672  0.500
Dy  0.836  0.328  0.500
Y  0.000  0.000  0.000
Y  0.330  0.340  0.000
Y  0.670  0.660  0.000
Te  0.420  0.677  0.742
Te  0.741  0.000  0.745
Te  0.097  0.323  0.742
Te  0.259  0.000  0.255
Te  0.580  0.323  0.258
Te  0.903  0.677  0.258

Properties
Total magnetization ... 0.000 μB/atom
ΔE to the lowest computed polymorph ... 0.0000 eV per atom
Energy ... -5.722 eV/atom

***

[4]
The following is a DFT calculation (GGA-PBE) of an optimized crystal structure of Dy4YTe5.

Lattice parameters (Å, degrees): 4.331 4.331 15.924 97.82 97.82 90.00
Fractional positions:
Dy  0.405  0.405  0.810
Dy  0.792  0.792  0.585
Dy  0.208  0.208  0.415
Dy  0.595  0.595  0.190
Y  0.000  0.000  0.000
Te  0.103  0.103  0.206
Te  0.500  0.500  0.000
Te  0.897  0.897  0.794
Te  0.305  0.305  0.611
Te  0.695  0.695  0.389

Properties
Total magnetization ... 0.000 μB/atom
Energy ... -5.343 eV/atom

***

[5]
The following is a DFT calculation (GGA-PBE) of an optimized crystal structure of Dy2Y2Te7.

Lattice parameters (Å, degrees): 4.230 9.585 9.585 61.89 77.25 77.25
Fractional positions:
Dy  0.743  0.855  0.659
Dy  0.257  0.341  0.145
Y  0.000  0.770  0.230
Y  0.500  0.324  0.676
Te  0.823  0.075  0.278
Te  0.856  0.427  0.861
Te  0.500  0.004  0.996
Te  0.610  0.489  0.291
Te  0.390  0.709  0.511
Te  0.177  0.722  0.925
Te  0.144  0.139  0.573

Properties
Total magnetization ... 0.000 μB/atom
Energy ... -5.220 eV/atom

***

[6]
The following is a DFT calculation (GGA-PBE) of an optimized crystal structure of DyY3Te4.

Lattice parameters (Å, degrees): 6.165 6.165 7.565 114.04 114.04 90.00
Fractional positions:
Dy  0.000  0.000  0.000
Y  0.500  0.500  0.000
Y  0.750  0.250  0.500
Y  0.250  0.750  0.500
Te  0.750  0.750  0.501
Te  0.250  0.250  0.499
Te  0.500  0.000  0.000
Te  0.000  0.500  0.000

Properties
Total magnetization ... 0.000 μB/atom
ΔE to the lowest computed polymorph ... 0.0061 eV per atom
Energy ... -5.868 eV/atom

***

[7]
The following is a DFT calculation (GGA-PBE) of an optimized crystal structure of DyY2Te.

Lattice parameters (Å, degrees): 3.969 6.409 9.779 90.00 90.00 108.03
Fractional positions:
Dy  0.942  0.884  0.250
Dy  0.058  0.116  0.750
Y  0.365  0.730  0.539
Y  0.635  0.270  0.461
Y  0.365  0.730  0.961
Y  0.635  0.270  0.039
Te  0.763  0.526  0.750
Te  0.237  0.474  0.250

Properties
Total magnetization ... 0.000 μB/atom
ΔE to the lowest computed polymorph ... 0.0000 eV per atom
Energy ... -5.840 eV/atom

***

[8]
The following is a DFT calculation (GGA-PBE) of an optimized crystal structure of DyY3Te4.

Lattice parameters (Å, degrees): 7.578 7.576 8.666 90.00 90.00 109.32
Fractional positions:
Y  0.750  0.000  0.375
Y  0.250  0.000  0.625
Y  0.750  0.500  0.625
Y  0.750  0.500  0.125
Y  0.250  0.500  0.375
Y  0.250  0.500  0.875
Te  0.000  0.250  0.625
Te  0.500  0.249  0.875
Te  0.500  0.250  0.375
Te  0.000  0.249  0.125
Te  0.000  0.751  0.875
Te  0.500  0.750  0.625
Te  0.500  0.751  0.125
Te  0.000  0.750  0.375
Dy  0.750  0.000  0.875
Dy  0.250  0.000  0.125

Properties
Total magnetization ... 0.000 μB/atom
ΔE to the lowest computed polymorph ... 0.0000 eV per atom
Energy ... -5.874 eV/atom

***

[9]
The following is a DFT calculation (GGA-PBE) of an optimized crystal structure of DyY4Te5.

Lattice parameters (Å, degrees): 4.336 4.336 15.952 97.81 97.81 90.00
Fractional positions:
Dy  0.000  0.000  0.000
Y  0.405  0.405  0.810
Y  0.792  0.792  0.584
Y  0.208  0.208  0.416
Y  0.595  0.595  0.190
Te  0.102  0.102  0.205
Te  0.500  0.500  0.000
Te  0.898  0.898  0.795
Te  0.305  0.305  0.611
Te  0.695  0.695  0.389

Properties
Total magnetization ... 0.000 μB/atom
Energy ... -5.920 eV/atom

***

[10]
The following is a DFT calculation (GGA-PBE) of an optimized crystal structure of Dy2YTe4.

Lattice parameters (Å, degrees): 4.238 7.472 14.957 90.00 90.00 106.48
Fractional positions:
Dy  0.131  0.262  0.430
Dy  0.869  0.738  0.930
Dy  0.131  0.262  0.070
Dy  0.869  0.738  0.570
Y  0.628  0.256  0.750
Y  0.372  0.744  0.250
Te  0.779  0.557  0.122
Te  0.779  0.557  0.378
Te  0.221  0.443  0.878
Te  0.221  0.443  0.622
Te  0.969  0.939  0.750
Te  0.031  0.061  0.250
Te  0.500  0.000  0.000
Te  0.500  0.000  0.500

Properties
Total magnetization ... 0.000 μB/atom
ΔE to the lowest computed polymorph ... 0.0423 eV per atom
Energy ... -5.382 eV/atom

***

[11]
The following is a DFT calculation (GGA-PBE) of an optimized crystal structure of Dy3Y4Te8.

Lattice parameters (Å, degrees): 8.686 8.686 8.686 90.00 120.00 120.00
Fractional positions:
Dy  0.500  0.500  0.000
Dy  0.500  0.000  0.500
Dy  0.500  0.500  0.500
Y  0.500  0.000  0.000
Y  0.000  0.500  0.000
Y  0.000  0.000  0.000
Y  0.000  0.000  0.500
Te  0.512  0.256  0.256
Te  0.000  0.744  0.256
Te  0.001  0.256  0.256
Te  0.500  0.750  0.250
Te  0.500  0.250  0.750
Te  0.999  0.744  0.744
Te  0.000  0.256  0.744
Te  0.488  0.744  0.744

Properties
Total magnetization ... 0.000 μB/atom
Energy ... -5.698 eV/atom

***

[12]
The following is a DFT calculation (GGA-PBE) of an optimized crystal structure of Dy4YTe7.

Lattice parameters (Å, degrees): 4.236 7.459 13.178 103.53 90.00 106.50
Fractional positions:
Dy  0.701  0.403  0.814
Dy  0.299  0.598  0.187
Dy  0.000  0.000  0.000
Dy  0.115  0.231  0.424
Y  0.884  0.769  0.576
Te  0.743  0.485  0.350
Te  0.256  0.513  0.650
Te  0.340  0.679  0.952
Te  0.661  0.321  0.048
Te  0.038  0.076  0.784
Te  0.962  0.924  0.216
Te  0.500  0.999  0.499

Properties
Total magnetization ... 0.000 μB/atom
Energy ... -5.279 eV/atom

***

no.,formation energy (no corrections) (eV per atom)
1,-1.326
2,-1.388
3,-1.409
4,-1.285
5,-1.209
6,-1.298
7,-0.672
8,-1.304
9,-1.303
10,-1.349
11,-1.378
12,-1.374